Sb2PPt at its PBEsol-relaxed geometry. Source: Alexandria via LeMat-Bulk, functional meta-GGA SCAN.

The structure in POSCAR format:
```
Sb2PPt
1.0
-1.964 1.964 5.245
1.964 -1.964 5.245
1.964 1.964 -5.245
Sb P Pt
2 1 1
direct
0.000 0.000 0.000
0.750 0.250 0.500
0.500 0.500 0.000
0.250 0.750 0.500
```

## Properties
formation energy (no corrections) = 440 meV/atom
final energy = -38.34 eV/atom
space-group type = No. 119